The following is a PBE calculation of a relaxed PmHoTmHg crystal, from the Alexandria database.

Properties
**Polymorph energy (0 for the lowest one)**: 0 meV per atom
**Magnetization**: 0.00 μB per formula unit
**V**: 115.56 Å³/f.u.
**E_tot**: -15.05 eV per cell

a b c (Å): 3.604 3.604 8.897
angles (deg): 90.00 90.00 90.00
Space group P4mm (No. 99)
Symmetry-distinct sites (fractional):
Pm 0.000 0.000 0.000
Ho 0.500 0.500 0.283
Tm 0.500 0.500 0.719
Hg 0.000 0.000 0.505

***

The following is a PBE calculation of a relaxed LiCu2AgI4 crystal, from the Alexandria database.

Properties
**Formation energy (no corrections)**: -427 meV/atom
**Magnetization**: 0.00 μB per formula unit
**V**: 249.45 Å³/f.u.
**E_tot**: -45.14 eV per cell

a b c (Å): 6.231 6.231 12.851
angles (deg): 90.00 90.00 90.00
Space group I-42m (No. 121)
Symmetry-distinct sites (fractional):
Li 0.000 0.000 0.000
Cu 0.000 0.500 0.250
Ag 0.000 0.000 0.500
I 0.244 0.244 0.136

***

The following is a PBE calculation of a relaxed ZnP crystal, from the Alexandria database.

Properties
**Magnetization**: 0.00 μB per formula unit
**V**: 35.65 Å³/f.u.
**E_tot**: -12.43 eV per cell

a b c (Å): 2.886 3.798 6.503
angles (deg): 90.00 90.00 90.00
Space group Pmmn (No. 59, origin choice 2)
Symmetry-distinct sites (fractional):
Zn 0.250 0.250 0.131
P 0.250 0.250 0.733

***

The following is a PBE calculation of a relaxed Nd2Fe3C2 crystal, from the Alexandria database.

Properties
**Magnetization**: 4.06 μB per formula unit
**V**: 101.06 Å³/f.u.
**E_tot**: -104.29 eV per cell

a b c (Å): 10.127 3.417 6.746
angles (deg): 90.00 120.02 90.00
Space group C2/m (No. 12)
Symmetry-distinct sites (fractional):
Nd 0.125 0.000 0.274
Fe 0.000 0.500 0.500
Fe 0.164 0.500 0.905
C 0.158 0.000 0.757